P:
Material: AlHgCl2
Method: DFT, PBE
State: optimized geometry

Cell lengths 3.3230, 3.3923, 10.2799 Å; angles 90.00, 90.25, 90.00 degrees
Last column: nearest neighbours and their distance in Å.
Fractional coordinates of all 4 atoms:
Al1 0.0000 0.0000 0.0000  4 Cl 2.36
Hg1 0.5000 0.0000 0.5000  4 Hg 3.32-3.39
Cl1 0.0024 0.5000 0.1591  2 Al 2.36
Cl2 0.9976 0.5000 0.8409  2 Al 2.36

=====

Q:
Material: AlHgCl2
Method: DFT, PBE
State: optimized geometry

Cell lengths 3.6805, 3.6805, 9.9943 Å; angles 90.00, 90.00, 90.00 degrees
Last column: nearest neighbours and their distance in Å.
Fractional coordinates of all 4 atoms:
Al1 0.0000 0.0000 0.0000  1 Cl 2.11
Hg1 0.5000 0.5000 0.5297  4 Hg 3.68, 4 Cl 4.11
Cl1 0.0000 0.0000 0.2115  1 Al 2.11
Cl2 0.5000 0.5000 0.9429  4 Al 2.66

=====

Result of the stability comparison: P is the most stable of them.

=====

P:
Material: Al2HgCl
Method: DFT, PBE
State: optimized geometry

Cell lengths 3.2066, 3.2066, 8.3438 Å; angles 90.00, 90.00, 90.00 degrees
Last column: nearest neighbours and their distance in Å.
Fractional coordinates of all 4 atoms:
Al1 0.0000 0.0000 0.2455  4 Cl 3.06, 4 Hg 3.11, 4 Al 3.21
Al2 0.0000 0.0000 0.7545  4 Cl 3.06, 4 Hg 3.11, 4 Al 3.21
Hg1 0.5000 0.5000 0.5000  8 Al 3.11, 4 Hg 3.21
Cl1 0.5000 0.5000 0.0000  8 Al 3.06, 4 Cl 3.21

=====

Q:
Material: Al2HgCl
Method: DFT, PBE
State: optimized geometry

Cell lengths 3.2205, 3.2205, 8.7287 Å; angles 90.00, 90.00, 90.00 degrees
Last column: nearest neighbours and their distance in Å.
Fractional coordinates of all 4 atoms:
Al1 0.0000 0.0000 0.0000  4 Al 2.84, 4 Hg 3.03
Al2 0.5000 0.5000 0.1947  4 Cl 2.77, 4 Al 2.84
Hg1 0.5000 0.5000 0.7704  4 Al 3.03, 4 Hg 3.22
Cl1 0.0000 0.0000 0.3752  4 Al 2.77

=====

R:
Material: Al2HgCl
Method: DFT, PBE
State: optimized geometry

Cell lengths 3.2265, 3.2265, 9.2818 Å; angles 90.00, 90.00, 120.78 degrees
Last column: nearest neighbours and their distance in Å.
Fractional coordinates of all 4 atoms:
Al1 0.0000 0.0000 0.2319  2 Cl 2.68, 2 Hg 2.96
Al2 0.0000 0.0000 0.7681  2 Cl 2.68, 2 Hg 2.96
Hg1 0.5000 0.5000 0.5000  4 Al 2.96, 6 Hg 3.19-3.23
Cl1 0.5000 0.5000 0.0000  4 Al 2.68

=====

S:
Material: Al2HgCl
Method: DFT, PBE
State: optimized geometry

Cell lengths 4.9596, 4.9596, 4.9596 Å; angles 60.00, 60.00, 60.00 degrees
Last column: nearest neighbours and their distance in Å.
Fractional coordinates of all 4 atoms:
Al1 0.2500 0.2500 0.2500  4 Hg 3.04, 4 Cl 3.04
Al2 0.7500 0.7500 0.7500  4 Cl 3.04, 4 Hg 3.04
Hg1 0.0000 0.0000 0.0000  8 Al 3.04
Cl1 0.5000 0.5000 0.5000  8 Al 3.04

=====

Result of the stability comparison: Q is the most stable of them.

=====

P:
Material: Al2HgCl
Method: DFT, PBE
State: optimized geometry

Cell lengths 6.6731, 6.6731, 4.9890 Å; angles 111.05, 111.05, 25.67 degrees
Last column: nearest neighbours and their distance in Å.
Fractional coordinates of all 4 atoms:
Al1 0.0000 0.0000 0.0000  2 Cl 2.38
Al2 0.6937 0.6937 0.3390  4 Al 2.88-2.96, 4 Hg 3.10-3.13
Hg1 0.2880 0.2880 0.9333  2 Hg 2.96, 6 Al 3.04-3.13
Cl1 0.4948 0.4948 0.6217  2 Al 2.38

=====

Q:
Material: Al2HgCl
Method: DFT, PBE
State: optimized geometry

Cell lengths 3.0771, 5.1489, 5.1637 Å; angles 90.00, 93.28, 90.00 degrees
Last column: nearest neighbours and their distance in Å.
Fractional coordinates of all 4 atoms:
Al1 0.0000 0.0000 0.0000  2 Cl 2.58
Al2 0.0127 0.5000 0.4996  2 Cl 2.57
Hg1 0.5032 0.5000 0.0006  8 Al 2.92-3.10, 2 Hg 3.08
Cl1 0.0053 0.0000 0.5003  4 Al 2.57-2.58

=====

R:
Material: Al2HgCl
Method: DFT, PBE
State: optimized geometry

Cell lengths 7.6549, 7.6549, 7.6549 Å; angles 133.53, 133.53, 67.83 degrees
Last column: nearest neighbours and their distance in Å.
Fractional coordinates of all 8 atoms:
Al1 0.1103 0.6250 0.9853  2 Hg 2.61, 2 Cl 2.71
Al2 0.3750 0.3603 0.4853  2 Hg 2.61, 2 Cl 2.71
Al3 0.6397 0.1250 0.0147  2 Hg 2.61, 2 Cl 2.71
Al4 0.8750 0.8897 0.5147  2 Hg 2.61, 2 Cl 2.71
Hg1 0.0000 0.0000 0.0000  4 Al 2.61
Hg2 0.7500 0.2500 0.5000  4 Al 2.61
Cl1 0.2500 0.7500 0.5000  4 Al 2.71
Cl2 0.5000 0.5000 0.0000  4 Al 2.71

=====

Result of the stability comparison: Q is the most stable of them.

=====

P:
Material: Al2HgCl
Method: DFT, PBE
State: optimized geometry

Cell lengths 5.0520, 5.0520, 5.0520 Å; angles 60.00, 60.00, 60.00 degrees
Last column: nearest neighbours and their distance in Å.
Fractional coordinates of all 4 atoms:
Al1 0.0000 0.0000 0.0000  4 Hg 3.09, 4 Al 3.09
Al2 0.2500 0.2500 0.2500  4 Cl 3.09, 4 Al 3.09
Hg1 0.7500 0.7500 0.7500  4 Cl 3.09, 4 Al 3.09
Cl1 0.5000 0.5000 0.5000  4 Hg 3.09, 4 Al 3.09

=====

Q:
Material: Al2HgCl
Method: DFT, PBE
State: optimized geometry

Cell lengths 5.1680, 5.1680, 3.1977 Å; angles 90.00, 90.00, 90.00 degrees
Last column: nearest neighbours and their distance in Å.
Fractional coordinates of all 4 atoms:
Al1 0.0000 0.5000 0.0000  4 Cl 3.04, 4 Hg 3.04, 2 Al 3.20
Al2 0.5000 0.0000 0.0000  4 Cl 3.04, 4 Hg 3.04, 2 Al 3.20
Hg1 0.0000 0.0000 0.5000  8 Al 3.04, 2 Hg 3.20
Cl1 0.5000 0.5000 0.5000  8 Al 3.04, 2 Cl 3.20

=====

R:
Material: Al2HgCl
Method: DFT, PBE
State: optimized geometry

Cell lengths 3.1916, 4.8343, 5.5097 Å; angles 90.00, 90.00, 90.00 degrees
Last column: nearest neighbours and their distance in Å.
Fractional coordinates of all 4 atoms:
Al1 0.0000 0.0000 0.0000  4 Cl 2.90, 6 Al 3.18-3.19
Al2 0.5000 0.0000 0.5000  4 Hg 2.90, 6 Al 3.18-3.19
Hg1 0.0000 0.5000 0.5000  4 Al 2.90, 4 Cl 3.18, 2 Hg 3.19
Cl1 0.5000 0.5000 0.0000  4 Al 2.90, 4 Hg 3.18, 2 Cl 3.19

=====

S:
Material: Al2HgCl
Method: DFT, PBE
State: optimized geometry

Cell lengths 5.6374, 5.6374, 5.5217 Å; angles 118.89, 118.89, 34.45 degrees
Last column: nearest neighbours and their distance in Å.
Fractional coordinates of all 4 atoms:
Al1 0.2422 0.2422 0.2427  2 Cl 2.80, 2 Hg 2.92
Al2 0.7578 0.7578 0.7573  2 Cl 2.80, 2 Hg 2.92
Hg1 0.0000 0.0000 0.5000  4 Al 2.92, 4 Cl 3.23
Cl1 0.5000 0.5000 0.0000  4 Al 2.80

=====

Result of the stability comparison: R is the most stable of them.

=====

P:
Material: Al2HgCl
Method: DFT, PBE
State: optimized geometry

Cell lengths 9.3264, 9.3264, 9.3264 Å; angles 20.05, 20.05, 20.05 degrees
Last column: nearest neighbours and their distance in Å.
Fractional coordinates of all 4 atoms:
Al1 0.2444 0.2444 0.2444  3 Cl 2.84, 3 Hg 3.08
Al2 0.7556 0.7556 0.7556  3 Cl 2.84, 3 Hg 3.08
Hg1 0.0000 0.0000 0.0000  6 Al 3.08, 6 Hg 3.25
Cl1 0.5000 0.5000 0.5000  6 Al 2.84

=====

Q:
Material: Al2HgCl
Method: DFT, PBE
State: optimized geometry

Cell lengths 5.2722, 5.2722, 5.2722 Å; angles 128.09, 128.09, 76.48 degrees
Last column: nearest neighbours and their distance in Å.
Fractional coordinates of all 4 atoms:
Al1 0.2500 0.7500 0.5000  4 Hg 3.10, 4 Cl 3.10, 4 Al 3.26
Al2 0.7500 0.2500 0.5000  4 Hg 3.10, 4 Cl 3.10, 4 Al 3.26
Hg1 0.0000 0.0000 0.0000  8 Al 3.10, 4 Cl 3.26
Cl1 0.5000 0.5000 0.0000  8 Al 3.10, 4 Hg 3.26

=====

Result of the stability comparison: P is the most stable of them.

=====

P:
Material: Al2HgCl
Method: DFT, PBE
State: optimized geometry

Cell lengths 3.1897, 3.1897, 10.3659 Å; angles 90.00, 90.00, 120.59 degrees
Last column: nearest neighbours and their distance in Å.
Fractional coordinates of all 4 atoms:
Al1 0.0000 0.0000 0.0000  2 Al 2.79, 2 Hg 2.97
Al2 0.5000 0.5000 0.2212  2 Cl 2.38
Hg1 0.5000 0.5000 0.7571  2 Al 2.97, 6 Hg 3.16-3.19
Cl1 0.0000 0.0000 0.3926  2 Al 2.38

=====

Q:
Material: Al2HgCl
Method: DFT, PBE
State: optimized geometry

Cell lengths 5.4122, 5.4122, 3.1646 Å; angles 103.89, 103.89, 88.52 degrees
Last column: nearest neighbours and their distance in Å.
Fractional coordinates of all 4 atoms:
Al1 0.0000 0.5000 0.0000  2 Hg 2.71, 2 Cl 2.71
Al2 0.5000 0.0000 0.0000  2 Hg 2.71, 2 Cl 2.71
Hg1 0.0000 0.0000 0.0000  4 Al 2.71
Cl1 0.5000 0.5000 0.0000  4 Al 2.71

=====

Result of the stability comparison: P is the most stable of them.

=====

P:
Material: AlHg2Cl8
Method: DFT, PBE
State: optimized geometry

Cell lengths 7.6268, 7.6268, 6.2481 Å; angles 98.48, 98.48, 71.10 degrees
Last column: nearest neighbours and their distance in Å.
Fractional coordinates of all 11 atoms:
Al1 0.0000 0.0000 0.0000  6 Cl 2.30-2.37
Hg1 0.2150 0.2150 0.7113  3 Cl 2.34-2.56
Hg2 0.7850 0.7850 0.2887  3 Cl 2.34-2.56
Cl1 0.1165 0.7421 0.2069  1 Al 2.37, 1 Hg 2.56
Cl2 0.1656 0.1656 0.2358  1 Al 2.30
Cl3 0.2579 0.8835 0.7931  1 Al 2.37, 1 Hg 2.56
Cl4 0.4029 0.4029 0.7073  1 Hg 2.34
Cl5 0.5971 0.5971 0.2927  1 Hg 2.34
Cl6 0.7421 0.1165 0.2069  1 Al 2.37, 1 Hg 2.56
Cl7 0.8344 0.8344 0.7642  1 Al 2.30
Cl8 0.8835 0.2579 0.7931  1 Al 2.37, 1 Hg 2.56

=====

Q:
Material: AlHg2Cl8
Method: DFT, PBE
State: optimized geometry

Cell lengths 6.9381, 6.9381, 10.4463 Å; angles 107.07, 107.07, 53.29 degrees
Last column: nearest neighbours and their distance in Å.
Fractional coordinates of all 11 atoms:
Al1 0.0000 0.0000 0.0000  4 Cl 2.19
Hg1 0.3296 0.3296 0.4334  2 Cl 2.34-2.36
Hg2 0.6704 0.6704 0.5666  2 Cl 2.34-2.36
Cl1 0.1124 0.6285 0.9055  1 Al 2.19
Cl2 0.1812 0.1812 0.5281  1 Hg 2.36
Cl3 0.3715 0.8876 0.0945  1 Al 2.19
Cl4 0.4570 0.4570 0.3109  1 Hg 2.34
Cl5 0.5430 0.5430 0.6891  1 Hg 2.34
Cl6 0.6285 0.1124 0.9055  1 Al 2.19
Cl7 0.8188 0.8188 0.4719  1 Hg 2.36
Cl8 0.8876 0.3715 0.0945  1 Al 2.19

=====

Result of the stability comparison: P is the most stable of them.

=====

P:
Material: AlI3Cl
Method: DFT, PBE
State: optimized geometry

Cell lengths 8.8182, 8.8182, 8.8182 Å; angles 134.00, 88.79, 109.05 degrees
Last column: nearest neighbours and their distance in Å.
Fractional coordinates of all 10 atoms:
Al1 0.5000 0.0000 0.0000  2 Cl 2.32
Al2 0.5000 0.5000 0.5000  2 Cl 2.32
I1 0.2772 0.0000 0.7772  1 Al 2.81
I2 0.2772 0.5000 0.2772  1 Al 2.81
I3 0.2934 0.0434 0.2500  2 Al 2.73
I4 0.7066 0.9566 0.7500  2 Al 2.73
I5 0.7228 0.0000 0.2228  1 Al 2.81
I6 0.7228 0.5000 0.7228  1 Al 2.81
Cl1 0.3484 0.5984 0.7500  2 Al 2.32
Cl2 0.6516 0.4016 0.2500  2 Al 2.32

=====

Q:
Material: AlI3Cl
Method: DFT, PBE
State: optimized geometry

Cell lengths 5.8016, 5.8016, 5.8016 Å; angles 90.00, 90.00, 90.00 degrees
Last column: nearest neighbours and their distance in Å.
Fractional coordinates of all 5 atoms:
Al1 0.0000 0.0000 0.0000  12 I 4.10
I1 0.0000 0.5000 0.5000  2 Cl 2.90
I2 0.5000 0.0000 0.5000  2 Cl 2.90
I3 0.5000 0.5000 0.0000  2 Cl 2.90
Cl1 0.5000 0.5000 0.5000  6 I 2.90

=====

R:
Material: AlI3Cl
Method: DFT, PBE
State: optimized geometry

Cell lengths 5.5444, 5.5444, 5.5444 Å; angles 90.00, 90.00, 90.00 degrees
Last column: nearest neighbours and their distance in Å.
Fractional coordinates of all 5 atoms:
Al1 0.0000 0.0000 0.0000  6 I 2.77
I1 0.0000 0.0000 0.5000  2 Al 2.77
I2 0.0000 0.5000 0.0000  2 Al 2.77
I3 0.5000 0.0000 0.0000  2 Al 2.77
Cl1 0.5000 0.5000 0.5000  12 I 3.92

=====

Result of the stability comparison: P is the most stable of them.

=====

P:
Material: AlICl2
Method: DFT, PBE
State: optimized geometry

Cell lengths 6.7266, 6.1050, 18.0885 Å; angles 90.00, 111.83, 90.00 degrees
Last column: nearest neighbours and their distance in Å.
Fractional coordinates of all 16 atoms:
Al1 0.0912 0.0006 0.3418  2 Cl 2.10
Al2 0.0912 0.4994 0.8418  2 Cl 2.10
Al3 0.9088 0.5006 0.1582  2 Cl 2.10
Al4 0.9088 0.9994 0.6582  2 Cl 2.10
I1 0.2298 0.7493 0.7504  2 Al 2.66
I2 0.2298 0.7507 0.2504  2 Al 2.66
I3 0.7702 0.2493 0.7496  2 Al 2.66
I4 0.7702 0.2507 0.2496  2 Al 2.66
Cl1 0.0576 0.1966 0.5987  1 Al 2.10
Cl2 0.0576 0.3034 0.0987  1 Al 2.10
Cl3 0.3591 0.1977 0.4020  1 Al 2.10
Cl4 0.3591 0.3023 0.9020  1 Al 2.10
Cl5 0.6409 0.6977 0.0980  1 Al 2.10
Cl6 0.6409 0.8023 0.5980  1 Al 2.10
Cl7 0.9424 0.6966 0.9013  1 Al 2.10
Cl8 0.9424 0.8034 0.4013  1 Al 2.10

=====

Q:
Material: AlICl2
Method: DFT, PBE
State: optimized geometry

Cell lengths 5.2631, 5.2631, 5.2631 Å; angles 60.00, 60.00, 60.00 degrees
Last column: nearest neighbours and their distance in Å.
Fractional coordinates of all 4 atoms:
Al1 0.0000 0.0000 0.0000  8 Cl 3.22
I1 0.5000 0.5000 0.5000  8 Cl 3.22
Cl1 0.2500 0.2500 0.2500  4 I 3.22, 4 Al 3.22
Cl2 0.7500 0.7500 0.7500  4 Al 3.22, 4 I 3.22

=====

R:
Material: AlICl2
Method: DFT, PBE
State: optimized geometry

Cell lengths 7.2151, 7.2151, 7.2151 Å; angles 119.00, 119.00, 91.74 degrees
Last column: nearest neighbours and their distance in Å.
Fractional coordinates of all 8 atoms:
Al1 0.0000 0.0000 0.0000  4 Cl 2.27
Al2 0.7500 0.2500 0.5000  4 Cl 2.27
I1 0.2500 0.7500 0.5000  8 Cl 3.88-4.22
I2 0.5000 0.5000 0.0000  8 Cl 3.88-4.22
Cl1 0.3750 0.1905 0.3155  2 Al 2.27
Cl2 0.8095 0.1250 0.1845  2 Al 2.27
Cl3 0.8750 0.0595 0.6845  2 Al 2.27
Cl4 0.9405 0.6250 0.8155  2 Al 2.27

=====

Result of the stability comparison: P is the most stable of them.

=====

P:
Material: AlICl3
Method: DFT, PBE
State: optimized geometry

Cell lengths 4.9185, 4.9185, 4.9185 Å; angles 90.00, 90.00, 90.00 degrees
Last column: nearest neighbours and their distance in Å.
Fractional coordinates of all 5 atoms:
Al1 0.0000 0.0000 0.0000  6 Cl 2.46
I1 0.5000 0.5000 0.5000  12 Cl 3.48
Cl1 0.0000 0.0000 0.5000  2 Al 2.46
Cl2 0.0000 0.5000 0.0000  2 Al 2.46
Cl3 0.5000 0.0000 0.0000  2 Al 2.46

=====

Q:
Material: AlICl3
Method: DFT, PBE
State: optimized geometry

Cell lengths 6.2743, 5.8596, 8.0979 Å; angles 90.00, 90.09, 90.00 degrees
Last column: nearest neighbours and their distance in Å.
Fractional coordinates of all 10 atoms:
Al1 0.2500 0.0000 0.0103  5 Cl 2.30-2.37
Al2 0.7500 0.5000 0.9897  5 Cl 2.30-2.37
I1 0.2495 0.7590 0.7114  1 Al 2.80
I2 0.7505 0.2590 0.2886  1 Al 2.80
Cl1 0.0019 0.7358 0.1187  2 Al 2.34-2.37
Cl2 0.2505 0.1958 0.2561  1 Al 2.30
Cl3 0.4985 0.7358 0.1187  2 Al 2.34-2.37
Cl4 0.5015 0.2358 0.8813  2 Al 2.34-2.37
Cl5 0.7495 0.6958 0.7439  1 Al 2.30
Cl6 0.9981 0.2358 0.8813  2 Al 2.34-2.37

=====

Result of the stability comparison: Q is the most stable of them.